# 1
Entry from the Alexandria database: crystalline La2RhS at its relaxed geometry (GGA-PBE).

```
La2RhS
1.0
4.0733 0.0000 0.0000
-2.0366 3.5276 0.0000
0.0000 0.0000 22.2795
La Rh S
6 3 3
Direct
0.0000 0.0000 0.0000
0.0000 0.0000 0.1791
0.3333 0.6667 0.6667
0.3333 0.6667 0.8457
0.6667 0.3333 0.3333
0.6667 0.3333 0.5124
0.0000 0.0000 0.5886
0.3333 0.6667 0.2553
0.6667 0.3333 0.9220
0.0000 0.0000 0.7569
0.3333 0.6667 0.4236
0.6667 0.3333 0.0902
```

Calculated values
- Energy relative to the elements, uncorrected: -1.2938 eV/atom


# 2
Entry from the Alexandria database: crystalline MnVCo6 at its relaxed geometry (GGA-PBE).

```
MnVCo6
1.0
3.5334 -4.9859 0.0000
3.5334 4.9859 0.0000
0.0000 0.0000 9.9644
Mn V Co
4 4 24
Direct
0.0000 0.0000 0.2491
0.0000 0.0000 0.7509
0.2514 0.7486 0.0000
0.7486 0.2514 0.0000
0.2524 0.7476 0.5000
0.5000 0.5000 0.2519
0.5000 0.5000 0.7481
0.7476 0.2524 0.5000
0.0000 0.0000 0.0000
0.0000 0.0000 0.5000
0.1241 0.3747 0.1248
0.1241 0.3747 0.8752
0.1248 0.3740 0.3748
0.1248 0.3740 0.6252
0.2498 0.7502 0.2489
0.2498 0.7502 0.7511
0.3740 0.1248 0.3748
0.3740 0.1248 0.6252
0.3747 0.1241 0.1248
0.3747 0.1241 0.8752
0.5000 0.5000 0.0000
0.5000 0.5000 0.5000
0.6253 0.8759 0.1248
0.6253 0.8759 0.8752
0.6260 0.8752 0.3748
0.6260 0.8752 0.6252
0.7502 0.2498 0.2489
0.7502 0.2498 0.7511
0.8752 0.6260 0.3748
0.8752 0.6260 0.6252
0.8759 0.6253 0.1248
0.8759 0.6253 0.8752
```

Calculated values
- Formation energy: -0.05 eV/atom


# 3
Entry from the Alexandria database: crystalline SrTcNi at its relaxed geometry (GGA-PBE).

```
SrTcNi
1.0
6.6037 0.0000 0.0000
0.0000 6.6037 0.0000
0.0000 0.0000 6.6037
Sr Tc Ni
4 4 4
Direct
0.0000 0.0000 0.0000
0.0000 0.5000 0.5000
0.5000 0.0000 0.5000
0.5000 0.5000 0.0000
0.2500 0.2500 0.2500
0.2500 0.7500 0.7500
0.7500 0.2500 0.7500
0.7500 0.7500 0.2500
0.2500 0.2500 0.7500
0.2500 0.7500 0.2500
0.7500 0.2500 0.2500
0.7500 0.7500 0.7500
```

Calculated values
- Relative energy among the computed polymorphs: 3.82 eV per formula unit
- Formation energy: 1.75 eV/atom


What are the final energy values for these records? In order: -6.6272; -7.6695; -4.1910 eV per atom.
What are the DOS(E_F) values for these records? In order: 0.78; 1.07; 0.74 states/eV/atom.
What are the M_tot values for these records? In order: 0.0; 1.6; 3.1 μB per formula unit.